Entry 1:
# NbCrAg2W

A crystal of NbCrAg2W relaxed with PBEsol (meta-GGA SCAN, the Alexandria database).

Cell lengths 4.9412, 4.9412, 4.2590 Å; angles 90.00, 90.00, 90.00 degrees
Fractional positions:
Nb (0.0000, 0.0000, 0.0000)
Cr (0.0000, 0.0000, 0.5000)
Ag (0.0000, 0.5000, 0.0000)
Ag (0.5000, 0.0000, 0.0000)
W (0.5000, 0.5000, 0.5000)

crystal system: tetragonal
E_form: 2.31 eV per atom
space-group type: P4/mmm
E_tot: -34.48 eV per atom

=====

Entry 2:
# CrNiAg2

A crystal of CrNiAg2 relaxed with PBEsol (meta-GGA SCAN, the Alexandria database).

Cell lengths 2.7300, 4.5337, 4.7794 Å; angles 90.00, 94.89, 90.00 degrees
Fractional positions:
Cr (0.0000, 0.0000, 0.0000)
Ni (0.5000, 0.0000, 0.5000)
Ag (0.2691, 0.5000, 0.7448)
Ag (0.7309, 0.5000, 0.2552)

crystal system: monoclinic
E_form: 0.35 eV per atom
space-group type: P2/m
E_tot: -23.97 eV per atom

=====

Entry 3:
# CrNiAg2

A crystal of CrNiAg2 relaxed with PBEsol (meta-GGA SCAN, the Alexandria database).

Cell lengths 4.8153, 4.8153, 4.5945 Å; angles 102.35, 102.35, 34.11 degrees
Fractional positions:
Cr (0.0000, 0.0000, 0.0000)
Ni (0.5000, 0.5000, 0.5000)
Ag (0.2427, 0.2427, 0.7437)
Ag (0.7573, 0.7573, 0.2563)

crystal system: monoclinic
E_form: 0.30 eV per atom
space-group type: C2/m
E_tot: -24.03 eV per atom

=====

Entry 4:
# CrNiAg2

A crystal of CrNiAg2 relaxed with PBEsol (meta-GGA SCAN, the Alexandria database).

Cell lengths 4.7042, 4.7042, 4.7042 Å; angles 131.28, 131.28, 71.37 degrees
Fractional positions:
Cr (0.0000, 0.0000, 0.0000)
Ni (0.7500, 0.2500, 0.5000)
Ag (0.2500, 0.7500, 0.5000)
Ag (0.5000, 0.5000, 0.0000)

crystal system: tetragonal
E_form: 0.27 eV per atom
space-group type: I-4m2
E_tot: -24.05 eV per atom

=====

Entry 5:
# CrNiAg2

A crystal of CrNiAg2 relaxed with PBEsol (meta-GGA SCAN, the Alexandria database).

Cell lengths 4.3629, 4.3629, 4.3629 Å; angles 60.00, 60.00, 60.00 degrees
Fractional positions:
Cr (0.0000, 0.0000, 0.0000)
Ni (0.5000, 0.5000, 0.5000)
Ag (0.2500, 0.2500, 0.2500)
Ag (0.7500, 0.7500, 0.7500)

crystal system: cubic
E_form: 0.33 eV per atom
space-group type: Fm-3m
E_tot: -23.99 eV per atom

=====

Entry 6:
# CrNiAg2

A crystal of CrNiAg2 relaxed with PBEsol (meta-GGA SCAN, the Alexandria database).

Cell lengths 2.6228, 2.6228, 7.9483 Å; angles 90.00, 90.00, 90.00 degrees
Fractional positions:
Cr (0.0000, 0.0000, 0.0000)
Ni (0.0000, 0.0000, 0.5000)
Ag (0.5000, 0.5000, 0.2585)
Ag (0.5000, 0.5000, 0.7415)

crystal system: tetragonal
E_form: 0.48 eV per atom
space-group type: P4/mmm
E_tot: -23.84 eV per atom

=====

Entry 7:
# CrAgO3

A crystal of CrAgO3 relaxed with PBEsol (meta-GGA SCAN, the Alexandria database).

Cell lengths 3.6862, 3.6862, 3.6862 Å; angles 90.00, 90.00, 90.00 degrees
Fractional positions:
Cr (0.0000, 0.0000, 0.0000)
Ag (0.5000, 0.5000, 0.5000)
O (0.0000, 0.0000, 0.5000)
O (0.0000, 0.5000, 0.0000)
O (0.5000, 0.0000, 0.0000)

crystal system: cubic
space-group type: Pm-3m
E_tot: -14.89 eV per atom

=====

Entry 8:
# CrAgO2

A crystal of CrAgO2 relaxed with PBEsol (meta-GGA SCAN, the Alexandria database).

Cell lengths 6.3456, 6.3456, 6.3456 Å; angles 26.73, 26.73, 26.73 degrees
Fractional positions:
Cr (0.0000, 0.0000, 0.0000)
Ag (0.1618, 0.1618, 0.1618)
O (0.2801, 0.2801, 0.2801)
O (0.7231, 0.7231, 0.7231)

crystal system: trigonal
space-group type: R3m
E_tot: -17.23 eV per atom

=====

Entry 9:
# Cr3AgO8

A crystal of Cr3AgO8 relaxed with PBEsol (meta-GGA SCAN, the Alexandria database).

Cell lengths 5.0130, 5.0130, 6.8492 Å; angles 92.77, 92.77, 65.96 degrees
Fractional positions:
Cr (0.0000, 0.0000, 0.0000)
Cr (0.3483, 0.3483, 0.7794)
Cr (0.6517, 0.6517, 0.2206)
Ag (0.0000, 0.0000, 0.5000)
O (0.2068, 0.7179, 0.7982)
O (0.2194, 0.2194, 0.9520)
O (0.2527, 0.2527, 0.5678)
O (0.2821, 0.7932, 0.2018)
O (0.7179, 0.2068, 0.7982)
O (0.7473, 0.7473, 0.4322)
O (0.7806, 0.7806, 0.0480)
O (0.7932, 0.2821, 0.2018)

crystal system: monoclinic
space-group type: C2/m
E_tot: -13.17 eV per atom

=====

Entry 10:
# CrAg2O4

A crystal of CrAg2O4 relaxed with PBEsol (meta-GGA SCAN, the Alexandria database).

Cell lengths 9.8833, 6.8709, 5.4700 Å; angles 90.00, 90.00, 90.00 degrees
Fractional positions:
Cr (0.1826, 0.2500, 0.0306)
Cr (0.3174, 0.7500, 0.5306)
Cr (0.6826, 0.2500, 0.4694)
Cr (0.8174, 0.7500, 0.9694)
Ag (0.0000, 0.0000, 0.5000)
Ag (0.0000, 0.5000, 0.5000)
Ag (0.1360, 0.7500, 0.0177)
Ag (0.3640, 0.2500, 0.5177)
Ag (0.5000, 0.0000, 0.0000)
Ag (0.5000, 0.5000, 0.0000)
Ag (0.6360, 0.7500, 0.4823)
Ag (0.8640, 0.2500, 0.9823)
O (0.1129, 0.0528, 0.1559)
O (0.1129, 0.4472, 0.1559)
O (0.1502, 0.7500, 0.5929)
O (0.1520, 0.2500, 0.7326)
O (0.3480, 0.7500, 0.2326)
O (0.3498, 0.2500, 0.0929)
O (0.3871, 0.5528, 0.6559)
O (0.3871, 0.9472, 0.6559)
O (0.6129, 0.0528, 0.3441)
O (0.6129, 0.4472, 0.3441)
O (0.6502, 0.7500, 0.9071)
O (0.6520, 0.2500, 0.7674)
O (0.8480, 0.7500, 0.2674)
O (0.8498, 0.2500, 0.4071)
O (0.8871, 0.5528, 0.8441)
O (0.8871, 0.9472, 0.8441)

crystal system: orthorhombic
space-group type: Pnma
E_tot: -16.34 eV per atom

=====

Entry 11:
# CrAgO2

A crystal of CrAgO2 relaxed with PBEsol (meta-GGA SCAN, the Alexandria database).

Cell lengths 6.3797, 6.3797, 6.3797 Å; angles 26.91, 26.91, 26.91 degrees
Fractional positions:
Cr (0.0000, 0.0000, 0.0000)
Ag (0.5000, 0.5000, 0.5000)
O (0.3867, 0.3867, 0.3867)
O (0.6133, 0.6133, 0.6133)

crystal system: trigonal
space-group type: R-3m
E_tot: -17.32 eV per atom

=====

Entry 12:
# Tl3Cr4AgO14

A crystal of Tl3Cr4AgO14 relaxed with PBEsol (meta-GGA SCAN, the Alexandria database).

Cell lengths 7.2464, 7.2464, 13.4321 Å; angles 101.75, 101.75, 91.18 degrees
Fractional positions:
Tl (0.0381, 0.9619, 0.7500)
Tl (0.2483, 0.6145, 0.9964)
Tl (0.3855, 0.7517, 0.5036)
Tl (0.6145, 0.2483, 0.4964)
Tl (0.7517, 0.3855, 0.0036)
Tl (0.9619, 0.0381, 0.2500)
Cr (0.0543, 0.5357, 0.2535)
Cr (0.1318, 0.2722, 0.5470)
Cr (0.2722, 0.1318, 0.0470)
Cr (0.4643, 0.9457, 0.2465)
Cr (0.5357, 0.0543, 0.7535)
Cr (0.7278, 0.8682, 0.9530)
Cr (0.8682, 0.7278, 0.4530)
Cr (0.9457, 0.4643, 0.7465)
Ag (0.4388, 0.5612, 0.7500)
Ag (0.5612, 0.4388, 0.2500)
O (0.0087, 0.2944, 0.4363)
O (0.0136, 0.7029, 0.3605)
O (0.0620, 0.6412, 0.1590)
O (0.0670, 0.2167, 0.0363)
O (0.1301, 0.6157, 0.7834)
O (0.2167, 0.0670, 0.5363)
O (0.2489, 0.4330, 0.2852)
O (0.2944, 0.0087, 0.9363)
O (0.2971, 0.9864, 0.1395)
O (0.3085, 0.4345, 0.5874)
O (0.3588, 0.9380, 0.3410)
O (0.3843, 0.8699, 0.7166)
O (0.4330, 0.2489, 0.7852)
O (0.4345, 0.3085, 0.0874)
O (0.5655, 0.6915, 0.9126)
O (0.5670, 0.7511, 0.2148)
O (0.6157, 0.1301, 0.2834)
O (0.6412, 0.0620, 0.6590)
O (0.6915, 0.5655, 0.4126)
O (0.7029, 0.0136, 0.8605)
O (0.7056, 0.9913, 0.0637)
O (0.7511, 0.5670, 0.7148)
O (0.7833, 0.9330, 0.4637)
O (0.8699, 0.3843, 0.2166)
O (0.9330, 0.7833, 0.9637)
O (0.9380, 0.3588, 0.8410)
O (0.9864, 0.2971, 0.6395)
O (0.9913, 0.7056, 0.5637)

crystal system: monoclinic
space-group type: C2/c
E_tot: -20.19 eV per atom

=====

Entry 13:
# Cr3AgOs

A crystal of Cr3AgOs relaxed with PBEsol (meta-GGA SCAN, the Alexandria database).

Cell lengths 4.6243, 4.6243, 4.6243 Å; angles 90.00, 90.00, 90.00 degrees
Fractional positions:
Cr (0.0000, 0.0000, 0.5000)
Cr (0.0000, 0.5000, 0.0000)
Cr (0.5000, 0.0000, 0.0000)
Ag (0.0000, 0.0000, 0.0000)
Os (0.5000, 0.5000, 0.5000)

crystal system: cubic
E_form: 2.00 eV per atom
space-group type: Pm-3m
E_tot: -29.68 eV per atom

=====

Entry 14:
# CrAgP3

A crystal of CrAgP3 relaxed with PBEsol (meta-GGA SCAN, the Alexandria database).

Cell lengths 4.3953, 4.3953, 4.3953 Å; angles 90.00, 90.00, 90.00 degrees
Fractional positions:
Cr (0.0000, 0.0000, 0.0000)
Ag (0.5000, 0.5000, 0.5000)
P (0.0000, 0.0000, 0.5000)
P (0.0000, 0.5000, 0.0000)
P (0.5000, 0.0000, 0.0000)

crystal system: cubic
E_form: 0.59 eV per atom
space-group type: Pm-3m
E_tot: -15.59 eV per atom

=====

Entry 15:
# CrAgP

A crystal of CrAgP relaxed with PBEsol (meta-GGA SCAN, the Alexandria database).

Cell lengths 4.0945, 4.0945, 4.0945 Å; angles 60.00, 60.00, 60.00 degrees
Fractional positions:
Cr (0.0000, 0.0000, 0.0000)
Ag (0.2500, 0.2500, 0.2500)
P (0.7500, 0.7500, 0.7500)

crystal system: cubic
E_form: 0.17 eV per atom
space-group type: F-43m
E_tot: -19.88 eV per atom

=====

Entry 16:
# CrAgP4

A crystal of CrAgP4 relaxed with PBEsol (meta-GGA SCAN, the Alexandria database).

Cell lengths 5.0505, 5.0505, 5.0505 Å; angles 60.00, 60.00, 60.00 degrees
Fractional positions:
Cr (0.0000, 0.0000, 0.0000)
Ag (0.7500, 0.7500, 0.7500)
P (0.3786, 0.3786, 0.3786)
P (0.3786, 0.3786, 0.8641)
P (0.3786, 0.8641, 0.3786)
P (0.8641, 0.3786, 0.3786)

crystal system: cubic
E_form: 0.65 eV per atom
space-group type: F-43m
E_tot: -14.57 eV per atom

=====

Entry 17:
# CrAgP2S6

A crystal of CrAgP2S6 relaxed with PBEsol (meta-GGA SCAN, the Alexandria database).

Cell lengths 6.8100, 10.4384, 5.8581 Å; angles 90.00, 105.53, 90.00 degrees
Fractional positions:
Cr (0.0000, 0.0827, 0.2500)
Cr (0.0000, 0.9173, 0.7500)
Ag (0.0000, 0.4390, 0.2500)
Ag (0.0000, 0.5610, 0.7500)
P (0.1679, 0.2459, 0.7972)
P (0.1679, 0.7541, 0.2972)
P (0.8321, 0.2459, 0.7028)
P (0.8321, 0.7541, 0.2028)
S (0.2198, 0.0727, 0.9910)
S (0.2198, 0.9273, 0.4910)
S (0.2338, 0.2341, 0.4787)
S (0.2338, 0.7659, 0.9787)
S (0.2796, 0.3983, 0.9867)
S (0.2796, 0.6017, 0.4867)
S (0.7204, 0.3983, 0.5133)
S (0.7204, 0.6017, 0.0133)
S (0.7662, 0.2341, 0.0213)
S (0.7662, 0.7659, 0.5213)
S (0.7802, 0.0727, 0.5090)
S (0.7802, 0.9273, 0.0090)

crystal system: monoclinic
space-group type: P2/c
E_tot: -13.35 eV per atom

=====

Entry 18:
# CrAgP2Se6

A crystal of CrAgP2Se6 relaxed with PBEsol (meta-GGA SCAN, the Alexandria database).

Cell lengths 6.2643, 6.2643, 7.0116 Å; angles 98.10, 98.10, 119.98 degrees
Fractional positions:
Cr (0.0000, 0.0000, 0.0000)
Ag (0.6657, 0.3343, 0.0000)
P (0.2811, 0.6154, 0.8362)
P (0.3846, 0.7189, 0.1638)
Se (0.0897, 0.3842, 0.2485)
Se (0.2152, 0.2276, 0.7516)
Se (0.3714, 0.0665, 0.2505)
Se (0.6158, 0.9103, 0.7515)
Se (0.7724, 0.7848, 0.2484)
Se (0.9335, 0.6286, 0.7495)

crystal system: monoclinic
space-group type: C2
E_tot: -19.47 eV per atom

=====

Entry 19:
# CrAgPb2

A crystal of CrAgPb2 relaxed with PBEsol (meta-GGA SCAN, the Alexandria database).

Cell lengths 4.9385, 4.9385, 3.5638 Å; angles 90.00, 90.00, 90.00 degrees
Fractional positions:
Cr (0.0000, 0.0000, 0.0000)
Ag (0.5000, 0.5000, 0.0000)
Pb (0.0000, 0.5000, 0.5000)
Pb (0.5000, 0.0000, 0.5000)

crystal system: tetragonal
E_form: 0.22 eV per atom
space-group type: P4/mmm
E_tot: -50.11 eV per atom

=====

Entry 20:
# CrAg2Pb2

A crystal of CrAg2Pb2 relaxed with PBEsol (meta-GGA SCAN, the Alexandria database).

Cell lengths 7.1617, 7.1617, 7.1617 Å; angles 144.72, 144.72, 50.75 degrees
Fractional positions:
Cr (0.0000, 0.0000, 0.0000)
Ag (0.4018, 0.4018, 0.0000)
Ag (0.5982, 0.5982, 0.0000)
Pb (0.2500, 0.7500, 0.5000)
Pb (0.7500, 0.2500, 0.5000)

crystal system: tetragonal
E_form: 0.52 eV per atom
space-group type: I4/mmm
E_tot: -46.01 eV per atom

=====

Entry 21:
# CrAg2Pb

A crystal of CrAg2Pb relaxed with PBEsol (meta-GGA SCAN, the Alexandria database).

Cell lengths 3.3038, 3.5769, 6.4049 Å; angles 90.00, 90.00, 90.00 degrees
Fractional positions:
Cr (0.0000, 0.0000, 0.0000)
Ag (0.0000, 0.0000, 0.5559)
Ag (0.5000, 0.5000, 0.7780)
Pb (0.5000, 0.5000, 0.2678)

crystal system: orthorhombic
E_form: 0.21 eV per atom
space-group type: Pmm2
E_tot: -39.02 eV per atom

=====

Entry 22:
# CrAgPb2

A crystal of CrAgPb2 relaxed with PBEsol (meta-GGA SCAN, the Alexandria database).

Cell lengths 4.9939, 4.9939, 4.9939 Å; angles 60.00, 60.00, 60.00 degrees
Fractional positions:
Cr (0.0000, 0.0000, 0.0000)
Ag (0.5000, 0.5000, 0.5000)
Pb (0.2500, 0.2500, 0.2500)
Pb (0.7500, 0.7500, 0.7500)

crystal system: cubic
E_form: 0.21 eV per atom
space-group type: Fm-3m
E_tot: -50.11 eV per atom

=====

Entry 23:
# Cr2AgPt

A crystal of Cr2AgPt relaxed with PBEsol (meta-GGA SCAN, the Alexandria database).

Cell lengths 4.0451, 5.2278, 5.2278 Å; angles 29.52, 90.00, 90.00 degrees
Fractional positions:
Cr (0.0000, 0.0000, 0.0000)
Cr (0.5000, 0.1117, 0.1117)
Ag (0.0000, 0.7366, 0.7366)
Pt (0.5000, 0.3874, 0.3874)

crystal system: orthorhombic
E_form: 0.08 eV per atom
space-group type: Amm2
E_tot: -34.50 eV per atom

=====

Entry 24:
# CrAgPt2

A crystal of CrAgPt2 relaxed with PBEsol (meta-GGA SCAN, the Alexandria database).

Cell lengths 2.7166, 2.7166, 7.7662 Å; angles 90.00, 90.00, 90.00 degrees
Fractional positions:
Cr (0.0000, 0.0000, 0.0000)
Ag (0.0000, 0.0000, 0.5000)
Pt (0.5000, 0.5000, 0.2223)
Pt (0.5000, 0.5000, 0.7777)

crystal system: tetragonal
E_form: -0.26 eV per atom
space-group type: P4/mmm
E_tot: -47.80 eV per atom

=====

Entry 25:
# CrAgPt2

A crystal of CrAgPt2 relaxed with PBEsol (meta-GGA SCAN, the Alexandria database).

Cell lengths 4.7448, 2.8086, 4.8097 Å; angles 90.00, 110.09, 90.00 degrees
Fractional positions:
Cr (0.0000, 0.0000, 0.0000)
Ag (0.0000, 0.5000, 0.5000)
Pt (0.5000, 0.0000, 0.5000)
Pt (0.5000, 0.5000, 0.0000)

crystal system: monoclinic
E_form: -0.11 eV per atom
space-group type: P2/m
E_tot: -47.64 eV per atom